[1]
The following is a PBE calculation of a relaxed structure of SmTmRuPb, from Alexandria.

Properties
**Magnetization**: 0.0 μB per cell
**Density**: 10.67 g/cm3
**Energy relative to the lowest polymorph listed for this composition**: 0.00 eV/f.u.
**Formation energy from the elements**: -10.4 kcal/mol of atoms

Unit cell a=3.4505 b=3.4505 c=8.2005 alpha=90.00 beta=90.00 gamma=90.00
With the nearest neighbours (Å) after each atom.
Atoms (fractional coordinates):
1 Sm 0.0000 0.0000 0.0000  4 Ru 3.01, 1 Tm 3.32
2 Tm 0.0000 0.0000 0.5946  4 Ru 2.90
3 Ru 0.5000 0.5000 0.7852  4 Tm 2.90, 4 Sm 3.01
4 Pb 0.5000 0.5000 0.3071  4 Tm 3.39, 4 Pb 3.45, 4 Sm 3.51

[2]
The following is a PBE calculation of a relaxed structure of SmYRuPb, from Alexandria.

Properties
**Magnetization**: 0.0 μB per cell
**Density**: 9.10 g/cm3
**Formation energy from the elements**: -9.7 kcal/mol of atoms

Unit cell a=3.4567 b=3.4567 c=8.3618 alpha=90.00 beta=90.00 gamma=90.00
With the nearest neighbours (Å) after each atom.
Atoms (fractional coordinates):
1 Sm 0.0000 0.0000 0.0000  4 Ru 3.00
2 Y 0.0000 0.0000 0.5950  4 Ru 2.95
3 Ru 0.5000 0.5000 0.7925  4 Y 2.95, 4 Sm 3.00
4 Pb 0.5000 0.5000 0.3038  4 Y 3.45, 4 Pb 3.46, 4 Sm 3.53

[3]
The following is a PBE calculation of a relaxed structure of SnRuPb2, from Alexandria.

Properties
**Magnetization**: 0.0 μB per cell
**Density**: 10.67 g/cm3
**Formation energy from the elements**: 13.4 kcal/mol of atoms

Unit cell a=4.2912 b=4.2912 c=21.4452 alpha=90.00 beta=90.00 gamma=90.00
With the nearest neighbours (Å) after each atom.
Atoms (fractional coordinates):
1 Sn 0.0000 0.0000 0.0000  4 Ru 3.03, 4 Pb 3.09
2 Sn 0.0000 0.5000 0.2500  4 Ru 3.03, 4 Pb 3.09
3 Sn 0.5000 0.0000 0.7500  4 Ru 3.03, 4 Pb 3.09
4 Sn 0.5000 0.5000 0.5000  4 Ru 3.03, 4 Pb 3.09
5 Ru 0.0000 0.0000 0.5000  4 Sn 3.03, 4 Pb 3.07
6 Ru 0.0000 0.5000 0.7500  4 Sn 3.03, 4 Pb 3.07
7 Ru 0.5000 0.0000 0.2500  4 Sn 3.03, 4 Pb 3.07
8 Ru 0.5000 0.5000 0.0000  4 Sn 3.03, 4 Pb 3.07
9 Pb 0.2417 0.2500 0.6250  4 Pb 2.98-3.08, 2 Ru 3.07, 2 Sn 3.09
10 Pb 0.2500 0.7417 0.8750  4 Pb 2.98-3.08, 2 Ru 3.07, 2 Sn 3.09
11 Pb 0.2500 0.7583 0.3750  4 Pb 2.98-3.08, 2 Ru 3.07, 2 Sn 3.09
12 Pb 0.2583 0.2500 0.1250  4 Pb 2.98-3.08, 2 Ru 3.07, 2 Sn 3.09
13 Pb 0.7417 0.7500 0.1250  4 Pb 2.98-3.08, 2 Ru 3.07, 2 Sn 3.09
14 Pb 0.7500 0.2417 0.3750  4 Pb 2.98-3.08, 2 Ru 3.07, 2 Sn 3.09
15 Pb 0.7500 0.2583 0.8750  4 Pb 2.98-3.08, 2 Ru 3.07, 2 Sn 3.09
16 Pb 0.7583 0.7500 0.6250  4 Pb 2.98-3.08, 2 Ru 3.07, 2 Sn 3.09

[4]
The following is a PBE calculation of a relaxed structure of SnRuPb3, from Alexandria.

Properties
**Magnetization**: 0.0 μB per cell
**Density**: 9.39 g/cm3
**Energy relative to the lowest polymorph listed for this composition**: 0.00 eV/f.u.
**Formation energy from the elements**: 7.4 kcal/mol of atoms

Unit cell a=5.2999 b=5.2999 c=5.2999 alpha=90.00 beta=90.00 gamma=90.00
With the nearest neighbours (Å) after each atom.
Atoms (fractional coordinates):
1 Sn 0.0000 0.0000 0.0000  12 Pb 3.75
2 Ru 0.5000 0.5000 0.5000  6 Pb 2.65
3 Pb 0.0000 0.5000 0.5000  2 Ru 2.65
4 Pb 0.5000 0.0000 0.5000  2 Ru 2.65
5 Pb 0.5000 0.5000 0.0000  2 Ru 2.65

Among the records above, which one has the highest formation energy from the elements?
SnRuPb2

Among the records above, which one has the highest formation energy from the elements?
SnRuPb2

density of number 4 (SnRuPb3)?
9.39 g/cm3

density of number 3 (SnRuPb2)?
10.67 g/cm3